VASP calculation (PBE) on a relaxed Dy6Cd2Ni crystal.

final energy	-4.0614	eV/atom
D(E_F)	0.9848	states/eV/atom

Structure (CIF):
```
data_Dy6Cd2Ni
_chemical_formula_sum 'Dy12 Cd4 Ni2'
_space_group_name_H-M_alt 'P 1 21/c 1'
_space_group_IT_number 14
_space_group_name_Hall '-P 2ybc'
_cell_length_a 7.2356
_cell_length_b 7.1587
_cell_length_c 12.0972
_cell_angle_alpha 90.00
_cell_angle_beta 125.60
_cell_angle_gamma 90.00
loop_
_atom_site_label
_atom_site_fract_x
_atom_site_fract_y
_atom_site_fract_z
Dy1 0.1769 0.9998 0.2560
Dy2 0.2955 0.2458 0.5437
Dy3 0.2966 0.7471 0.0434
Cd1 0.2576 0.5008 0.2571
Ni1 0.0000 0.0000 0.0000
```

***

VASP calculation (PBE) on a relaxed DyCd2Ni9 crystal.

final energy	-5.0382	eV/atom
D(E_F)	1.1190	states/eV/atom

Structure (CIF):
```
data_DyCd2Ni9
_chemical_formula_sum 'Dy3 Cd6 Ni27'
_space_group_name_H-M_alt 'R -3 m'
_space_group_IT_number 166
_space_group_name_Hall '-R 3 2"'
_cell_length_a 4.8952
_cell_length_b 4.8952
_cell_length_c 23.7527
_cell_angle_alpha 90.00
_cell_angle_beta 90.00
_cell_angle_gamma 120.00
loop_
_atom_site_label
_atom_site_fract_x
_atom_site_fract_y
_atom_site_fract_z
Dy1 0.0000 0.0000 0.0000
Cd1 0.0000 0.0000 0.1429
Ni1 0.0000 0.0000 0.3337
Ni2 0.0000 0.0000 0.5000
Ni3 0.0016 0.5008 0.9169
```

***

VASP calculation (PBE) on a relaxed Dy2CdNi9 crystal.

final energy	-5.4167	eV/atom
D(E_F)	1.0315	states/eV/atom

Structure (CIF):
```
data_Dy2CdNi9
_chemical_formula_sum 'Dy6 Cd3 Ni27'
_space_group_name_H-M_alt 'R -3 m'
_space_group_IT_number 166
_space_group_name_Hall '-R 3 2"'
_cell_length_a 4.9349
_cell_length_b 4.9349
_cell_length_c 24.1347
_cell_angle_alpha 90.00
_cell_angle_beta 90.00
_cell_angle_gamma 120.00
loop_
_atom_site_label
_atom_site_fract_x
_atom_site_fract_y
_atom_site_fract_z
Dy1 0.0000 0.0000 0.1358
Cd1 0.0000 0.0000 0.0000
Ni1 0.0000 0.0000 0.3330
Ni2 0.0000 0.0000 0.5000
Ni3 0.0012 0.5006 0.9180
```

***

VASP calculation (PBE) on a relaxed Dy4CdNi crystal.

ΔE to the lowest computed polymorph	0.227	eV/atom
D(E_F)	1.4436	states/eV/atom

Structure (CIF):
```
data_Dy4CdNi
_chemical_formula_sum 'Dy8 Cd2 Ni2'
_space_group_name_H-M_alt 'P 1 21/c 1'
_space_group_IT_number 14
_space_group_name_Hall '-P 2ybc'
_cell_length_a 7.0384
_cell_length_b 7.1680
_cell_length_c 6.9157
_cell_angle_alpha 90.00
_cell_angle_beta 95.80
_cell_angle_gamma 90.00
loop_
_atom_site_label
_atom_site_fract_x
_atom_site_fract_y
_atom_site_fract_z
Dy1 0.1437 0.1702 0.1913
Dy2 0.3200 0.6444 0.1048
Cd1 0.5000 0.0000 0.0000
Ni1 0.0000 0.0000 0.5000
```